Record 1
Crystalline Ti3FeRh6 at its relaxed geometry. Source: Alexandria via LeMat-Bulk, functional PBE-GGA.

It has space group P2_1/m (No. 11), with a = 7.419 Å, b = 4.383 Å, c = 9.593 Å, α = 90.00°, β = 112.22° and γ = 90.00°. Symmetry generates all atoms from Ti at (0.071, 0.250, 0.215), Ti at (0.305, 0.250, 0.019), Ti at (0.345, 0.750, 0.377), Fe at (0.107, 0.750, 0.567), Rh at (0.074, 0.250, 0.716), Rh at (0.120, 0.750, 0.081), Rh at (0.269, 0.250, 0.510), Rh at (0.295, 0.750, 0.862), Rh at (0.486, 0.250, 0.829) and Rh at (0.496, 0.750, 0.670).

Record 2
Crystalline Fe2Co at its relaxed geometry. Source: Alexandria via LeMat-Bulk, functional PBE-GGA.

It has space group P4/nmm (No. 129, origin choice 2), with a = 2.832 Å, b = 2.832 Å, c = 8.575 Å, α = 90.00°, β = 90.00° and γ = 90.00°. Symmetry generates all atoms from Fe at (0.250, 0.250, 0.083), Fe at (0.250, 0.250, 0.747) and Co at (0.250, 0.250, 0.415).

Record 3
Crystalline CsCd2Hg10 at its relaxed geometry. Source: Alexandria via LeMat-Bulk, functional PBE-GGA.

It has space group Fmmm (No. 69), with a = 6.262 Å, b = 15.286 Å, c = 16.174 Å, α = 90.00°, β = 90.00° and γ = 90.00°. Symmetry generates all atoms from Cs at (0.000, 0.000, 0.000), Cd at (0.250, 0.000, 0.250), Hg at (0.000, 0.109, 0.387), Hg at (0.000, 0.177, 0.178) and Hg at (0.250, 0.250, 0.000).

Number 1: final energy -163.916 eV/cell, energy of formation -13.1 kcal/mol of atoms, D(E_F) 18.37 states/eV per cell. Number 2: final energy -48.105 eV/cell, energy of formation -0.2 kcal/mol of atoms, D(E_F) 4.87 states/eV per cell. Number 3: final energy -26.904 eV/cell, energy of formation -1.8 kcal/mol of atoms, D(E_F) 17.83 states/eV per cell.